Compound: TaHg2Pt
Source: Alexandria
Functional: meta-GGA SCAN
Structure: single point on PBEsol structure

The structure belongs to space group C2/m (No. 12); the cell edges are 9.487, 2.951 and 5.189 Å and the angles 90.00°, 99.91° and 90.00°. The inequivalent atoms are Ta at (0.000, 0.000, 0.000), Hg at (0.250, 0.000, 0.747) and Pt at (0.000, 0.500, 0.500).

As for the crystal system: monoclinic. As for the formation energy: 0.18 eV/atom.


Compound: Si2NiAg
Source: Alexandria
Functional: meta-GGA SCAN
Structure: single point on PBEsol structure

The structure belongs to space group P4mm (No. 99); the cell edges are 3.222, 3.222 and 5.222 Å and the angles 90.00°, 90.00° and 90.00°. The inequivalent atoms are Si at (0.000, 0.000, 0.000), Si at (0.500, 0.500, 0.264), Ni at (0.500, 0.500, 0.833) and Ag at (0.000, 0.000, 0.519).

Its excess energy over the best structure of this formula in the dataset is 0.00 eV/f.u. As for the crystal system: tetragonal.


Compound: Re2Rh
Source: Alexandria
Functional: meta-GGA SCAN
Structure: single point on PBEsol structure

The structure belongs to space group Cmcm (No. 63); the cell edges are 8.247, 4.767 and 4.311 Å and the angles 90.00°, 90.00° and 90.00°. The inequivalent atoms are Re at (0.168, 0.165, 0.250) and Rh at (0.000, 0.337, 0.750).

Its excess energy over the best structure of this formula in the dataset is 0.00 eV/f.u. As for the crystal system: orthorhombic. As for the formation energy: -0.16 eV/atom.


Compound: Ti4B2N3
Source: Alexandria
Functional: meta-GGA SCAN
Structure: single point on PBEsol structure

The structure belongs to space group R3m (No. 160, hexagonal axes); the cell edges are 2.9315, 2.9315 and 34.3652 Å and the angles 90.00°, 90.00° and 120.00°. The inequivalent atoms are Ti at (0.0000, 0.0000, 0.0000), Ti at (0.0000, 0.0000, 0.1828), Ti at (0.0000, 0.0000, 0.4026), Ti at (0.0000, 0.0000, 0.5942), B at (0.0000, 0.0000, 0.4677), B at (0.0000, 0.0000, 0.8878), N at (0.0000, 0.0000, 0.1183), N at (0.0000, 0.0000, 0.2976) and N at (0.0000, 0.0000, 0.7020).

As for the uncorrected energy: -12.98 eV per atom. As for the crystal system: trigonal.


Compound: ZnCo2Si
Source: Alexandria
Functional: meta-GGA SCAN
Structure: single point on PBEsol structure

The structure belongs to space group P4mm (No. 99); the cell edges are 2.573, 2.573 and 7.132 Å and the angles 90.00°, 90.00° and 90.00°. The inequivalent atoms are Zn at (0.000, 0.000, 0.000), Co at (0.000, 0.000, 0.472), Co at (0.500, 0.500, 0.248) and Si at (0.500, 0.500, 0.682).

As for the uncorrected energy: -14.46 eV per atom. As for the crystal system: tetragonal.


Compound: Ba2UHgO6
Source: Alexandria
Functional: meta-GGA SCAN
Structure: single point on PBEsol structure

The structure belongs to space group Fm-3m (No. 225); the cell edges are 8.715, 8.715 and 8.715 Å and the angles 90.00°, 90.00° and 90.00°. The inequivalent atoms are Ba at (0.250, 0.250, 0.250), U at (0.000, 0.000, 0.000), Hg at (0.000, 0.000, 0.500) and O at (0.000, 0.000, 0.236).

As for the uncorrected energy: -31.52 eV per atom. As for the crystal system: cubic.


Compound: Zr2HgBW
Source: Alexandria
Functional: meta-GGA SCAN
Structure: single point on PBEsol structure

The structure belongs to space group P4/mmm (No. 123); the cell edges are 5.123, 5.123 and 4.854 Å and the angles 90.00°, 90.00° and 90.00°. The inequivalent atoms are Zr at (0.000, 0.500, 0.000), Hg at (0.000, 0.000, 0.000), B at (0.500, 0.500, 0.500) and W at (0.000, 0.000, 0.500).

As for the crystal system: tetragonal. As for the formation energy: 2.41 eV/atom.


Compound: LiHgCl2
Source: Alexandria
Functional: meta-GGA SCAN
Structure: single point on PBEsol structure

The structure belongs to space group I-4m2 (No. 119); the cell edges are 3.812, 3.812 and 13.084 Å and the angles 90.00°, 90.00° and 90.00°. The inequivalent atoms are Li at (0.000, 0.000, 0.000), Hg at (0.000, 0.500, 0.750), Cl at (0.000, 0.000, 0.500) and Cl at (0.000, 0.500, 0.250).

As for the uncorrected energy: -22.57 eV per atom. As for the crystal system: tetragonal.